Below is crystalline NbAgMo2 at its relaxed geometry, with properties calculated at the PBE-GGA level.

The structure in CIF format:
```
data_NbAgMo2
_chemical_formula_sum 'Nb4 Ag4 Mo8'
_symmetry_space_group_name_H-M 'F m -3 m'
_symmetry_Int_Tables_number 225
_symmetry_space_group_name_Hall '-F 4 2 3'
_cell_length_a 6.466
_cell_length_b 6.466
_cell_length_c 6.466
_cell_angle_alpha 90.00
_cell_angle_beta 90.00
_cell_angle_gamma 90.00
loop_
_atom_site_label
_atom_site_type_symbol
_atom_site_fract_x
_atom_site_fract_y
_atom_site_fract_z
Nb1 Nb 0.000 0.000 0.000
Ag1 Ag 0.000 0.000 0.500
Mo1 Mo 0.250 0.250 0.250
```

Values from the calculation:
* polymorph energy (0 for the lowest one): 0.00 eV per formula unit
* energy of formation from the pure elements: 517.7 meV/atom
* V: 270.4 Å³/cell